Entry 1:
Entry from Alexandria via LeMat-Bulk: crystalline CuH2Pt at its relaxed geometry (GGA-PBE).

Computed properties:
raw total energy = -16.50 eV/cell
total magnetic moment = 0.000 Bohr magnetons per cell

Cell lengths 7.0023, 7.0023, 7.0023 Å; angles 22.51, 22.51, 22.51 degrees
Element x y z (fractional)
Cu1 0.0000 0.0000 0.0000
H1 0.7001 0.7001 0.7001
H2 0.8366 0.8366 0.8366
Pt1 0.2166 0.2166 0.2166



Entry 2:
Entry from Alexandria via LeMat-Bulk: crystalline La2PuSb3 at its relaxed geometry (GGA-PBE).

Computed properties:
raw total energy = -42.69 eV/cell
formation energy from raw total energies = -1.02 eV per atom
total magnetic moment = 5.002 Bohr magnetons per cell

Cell lengths 10.2068, 10.2068, 10.2068 Å; angles 154.13, 154.13, 36.92 degrees
Element x y z (fractional)
La1 0.1671 0.1671 0.0000
La2 0.8329 0.8329 0.0000
Pu1 0.5000 0.5000 0.0000
Sb1 0.0000 0.0000 0.0000
Sb2 0.3364 0.3364 0.0000
Sb3 0.6636 0.6636 0.0000



Entry 3:
Entry from Alexandria via LeMat-Bulk: crystalline IrCl3 at its relaxed geometry (GGA-PBE).

Computed properties:
raw total energy = -15.63 eV/cell
formation energy from raw total energies = -0.31 eV per atom
total magnetic moment = 0.000 Bohr magnetons per cell

Cell lengths 6.8487, 6.8487, 3.5550 Å; angles 90.00, 90.00, 138.87 degrees
Element x y z (fractional)
Ir1 0.0000 0.0000 0.0000
Cl1 0.1221 0.8779 0.5000
Cl2 0.5000 0.5000 0.0000
Cl3 0.8779 0.1221 0.5000



Entry 4:
Entry from Alexandria via LeMat-Bulk: crystalline Ho3PaN4 at its relaxed geometry (GGA-PBE).

Computed properties:
raw total energy = -70.44 eV/cell
formation energy from raw total energies = -1.74 eV per atom
total magnetic moment = 0.000 Bohr magnetons per cell

Cell lengths 5.9862, 5.9862, 5.9862 Å; angles 131.72, 131.72, 70.66 degrees
Element x y z (fractional)
Ho1 0.0000 0.0000 0.0000
Ho2 0.2500 0.7500 0.5000
Ho3 0.7500 0.2500 0.5000
Pa1 0.5000 0.5000 0.0000
N1 0.0000 0.5000 0.5000
N2 0.2622 0.2622 0.0000
N3 0.5000 0.0000 0.5000
N4 0.7378 0.7378 0.0000



Entry 5:
Entry from Alexandria via LeMat-Bulk: crystalline Pm3TeS2 at its relaxed geometry (GGA-PBE).

Computed properties:
raw total energy = -73.22 eV/cell
formation energy from raw total energies = -1.83 eV per atom
total magnetic moment = 0.000 Bohr magnetons per cell

Cell lengths 4.1430, 4.1430, 20.8355 Å; angles 90.00, 90.00, 120.00 degrees
Element x y z (fractional)
Pm1 0.0000 0.0000 0.0000
Pm2 0.0000 0.0000 0.5000
Pm3 0.3333 0.6667 0.1495
Pm4 0.3333 0.6667 0.3505
Pm5 0.6667 0.3333 0.6495
Pm6 0.6667 0.3333 0.8505
Te1 0.0000 0.0000 0.2500
Te2 0.0000 0.0000 0.7500
S1 0.3333 0.6667 0.5764
S2 0.3333 0.6667 0.9236
S3 0.6667 0.3333 0.0764
S4 0.6667 0.3333 0.4236



Entry 6:
Entry from Alexandria via LeMat-Bulk: crystalline Hf2TlAsPt at its relaxed geometry (GGA-PBE).

Computed properties:
raw total energy = -26.73 eV/cell
total magnetic moment = 0.000 Bohr magnetons per cell
energy of formation = 1.25 eV per atom

Cell lengths 5.2999, 5.2999, 4.8955 Å; angles 90.00, 90.00, 90.00 degrees
Element x y z (fractional)
Hf1 0.0000 0.5000 0.0000
Hf2 0.5000 0.0000 0.0000
Tl1 0.0000 0.0000 0.0000
As1 0.5000 0.5000 0.5000
Pt1 0.0000 0.0000 0.5000



Entry 7:
Entry from Alexandria via LeMat-Bulk: crystalline K3TbCe3S8 at its relaxed geometry (GGA-PBE).

Computed properties:
raw total energy = -86.29 eV/cell
formation energy from raw total energies = -1.84 eV per atom
total magnetic moment = 2.016 Bohr magnetons per cell

Cell lengths 8.2899, 8.2899, 8.8597 Å; angles 118.23, 118.23, 59.91 degrees
Element x y z (fractional)
K1 0.0000 0.0000 0.0000
K2 0.0000 0.5000 0.0000
K3 0.5000 0.0000 0.0000
Tb1 0.5000 0.5000 0.5000
Ce1 0.0000 0.0000 0.5000
Ce2 0.0000 0.5000 0.5000
Ce3 0.5000 0.0000 0.5000
S1 0.2324 0.2324 0.6983
S2 0.2348 0.7326 0.6963
S3 0.2675 0.2675 0.2972
S4 0.2674 0.7652 0.3037
S5 0.7326 0.2348 0.6963
S6 0.7325 0.7325 0.7028
S7 0.7652 0.2674 0.3037
S8 0.7676 0.7676 0.3017



Entry 8:
Entry from Alexandria via LeMat-Bulk: crystalline ZnSeBr2 at its relaxed geometry (GGA-PBE).

Computed properties:
raw total energy = -9.39 eV/cell
formation energy from raw total energies = -0.32 eV per atom
total magnetic moment = 0.000 Bohr magnetons per cell

Cell lengths 7.8227, 7.8227, 7.8227 Å; angles 153.42, 140.58, 48.18 degrees
Element x y z (fractional)
Zn1 0.0000 0.0000 0.0000
Se1 0.8712 0.3712 0.5000
Br1 0.1219 0.6219 0.5000
Br2 0.4027 0.4027 0.0000



Entry 9:
Entry from Alexandria via LeMat-Bulk: crystalline Be2FePt at its relaxed geometry (GGA-PBE).

Computed properties:
raw total energy = -22.66 eV/cell
total magnetic moment = 2.903 Bohr magnetons per cell
energy of formation = -0.18 eV per atom

Cell lengths 4.0098, 4.0098, 4.0098 Å; angles 60.00, 60.00, 60.00 degrees
Element x y z (fractional)
Be1 0.0000 0.0000 0.0000
Be2 0.2500 0.2500 0.2500
Fe1 0.7500 0.7500 0.7500
Pt1 0.5000 0.5000 0.5000



Entry 10:
Entry from Alexandria via LeMat-Bulk: crystalline TiCrPd3 at its relaxed geometry (GGA-PBE).

Computed properties:
raw total energy = -29.02 eV/cell
total magnetic moment = 0.839 Bohr magnetons per cell
energy of formation = 0.82 eV per atom

Cell lengths 4.5389, 4.5389, 4.5389 Å; angles 90.00, 90.00, 90.00 degrees
Element x y z (fractional)
Ti1 0.0000 0.0000 0.0000
Cr1 0.5000 0.5000 0.5000
Pd1 0.0000 0.5000 0.5000
Pd2 0.5000 0.0000 0.5000
Pd3 0.5000 0.5000 0.0000



Entry 11:
Entry from Alexandria via LeMat-Bulk: crystalline NaCo4Ge12 at its relaxed geometry (GGA-PBE).

Computed properties:
raw total energy = -84.51 eV/cell
total magnetic moment = 0.386 Bohr magnetons per cell
energy of formation = 0.04 eV per atom

Cell lengths 7.2930, 7.2930, 7.2930 Å; angles 109.47, 109.47, 109.47 degrees
Element x y z (fractional)
Na1 0.0000 0.0000 0.0000
Co1 0.0000 0.0000 0.5000
Co2 0.0000 0.5000 0.0000
Co3 0.5000 0.0000 0.0000
Co4 0.5000 0.5000 0.5000
Ge1 0.1655 0.5054 0.3399
Ge2 0.1655 0.8256 0.6601
Ge3 0.1744 0.3399 0.8345
Ge4 0.3399 0.1655 0.5054
Ge5 0.3399 0.8345 0.1744
Ge6 0.4946 0.6601 0.8345
Ge7 0.5054 0.3399 0.1655
Ge8 0.6601 0.1655 0.8256
Ge9 0.6601 0.8345 0.4946
Ge10 0.8256 0.6601 0.1655
Ge11 0.8345 0.1744 0.3399
Ge12 0.8345 0.4946 0.6601



Entry 12:
Entry from Alexandria via LeMat-Bulk: crystalline LaNiSe2 at its relaxed geometry (GGA-PBE).

Computed properties:
raw total energy = -21.82 eV/cell
formation energy from raw total energies = -1.04 eV per atom
total magnetic moment = 0.942 Bohr magnetons per cell

Cell lengths 5.1589, 5.1589, 5.1589 Å; angles 134.19, 112.45, 85.47 degrees
Element x y z (fractional)
La1 0.0000 0.0000 0.0000
Ni1 0.5000 0.5000 0.0000
Se1 0.3028 0.8028 0.5000
Se2 0.6972 0.1972 0.5000



Entry 13:
Entry from Alexandria via LeMat-Bulk: crystalline TaCu2Mo at its relaxed geometry (GGA-PBE).

Computed properties:
raw total energy = -30.32 eV/cell
total magnetic moment = 0.000 Bohr magnetons per cell
energy of formation = 0.14 eV per atom

Cell lengths 3.8705, 3.8705, 3.8724 Å; angles 90.00, 90.00, 90.00 degrees
Element x y z (fractional)
Ta1 0.0000 0.0000 0.0000
Cu1 0.0000 0.5000 0.5000
Cu2 0.5000 0.0000 0.5000
Mo1 0.5000 0.5000 0.0000



Entry 14:
Entry from Alexandria via LeMat-Bulk: crystalline NaTlCdP2 at its relaxed geometry (GGA-PBE).

Computed properties:
raw total energy = -12.94 eV/cell
total magnetic moment = 0.000 Bohr magnetons per cell
energy of formation = 0.50 eV per atom

Cell lengths 5.0661, 5.0661, 5.4064 Å; angles 90.00, 90.00, 90.00 degrees
Element x y z (fractional)
Na1 0.0000 0.0000 0.0000
Tl1 0.5000 0.5000 0.0000
Cd1 0.0000 0.0000 0.5000
P1 0.0000 0.5000 0.5000
P2 0.5000 0.0000 0.5000



Entry 15:
Entry from Alexandria via LeMat-Bulk: crystalline Nb2Se3 at its relaxed geometry (GGA-PBE).

Computed properties:
raw total energy = -34.65 eV/cell
formation energy from raw total energies = -0.81 eV per atom
total magnetic moment = 0.000 Bohr magnetons per cell

Cell lengths 3.4454, 3.4454, 10.3576 Å; angles 90.00, 90.00, 120.00 degrees
Element x y z (fractional)
Nb1 0.0000 0.0000 0.0000
Nb2 0.0000 0.0000 0.3399
Se1 0.3333 0.6667 0.8367
Se2 0.6667 0.3333 0.1758
Se3 0.6667 0.3333 0.5042



Entry 16:
Entry from Alexandria via LeMat-Bulk: crystalline BaSc2As at its relaxed geometry (GGA-PBE).

Computed properties:
raw total energy = -19.38 eV/cell
total magnetic moment = 0.000 Bohr magnetons per cell
energy of formation = -0.03 eV per atom

Cell lengths 6.3618, 6.3618, 3.5251 Å; angles 105.68, 105.68, 117.37 degrees
Element x y z (fractional)
Ba1 0.0000 0.0000 0.0000
Sc1 0.0000 0.5000 0.5000
Sc2 0.5000 0.0000 0.5000
As1 0.5000 0.5000 0.0000



Entry 17:
Entry from Alexandria via LeMat-Bulk: crystalline AgAsCl at its relaxed geometry (GGA-PBE).

Computed properties:
raw total energy = -7.90 eV/cell
formation energy from raw total energies = 0.48 eV per atom
total magnetic moment = 0.000 Bohr magnetons per cell

Cell lengths 4.6600, 4.6600, 4.6600 Å; angles 60.00, 60.00, 60.00 degrees
Element x y z (fractional)
Ag1 0.0000 0.0000 0.0000
As1 0.2500 0.2500 0.2500
Cl1 0.5000 0.5000 0.5000



Entry 18:
Entry from Alexandria via LeMat-Bulk: crystalline Pr2CoC4 at its relaxed geometry (GGA-PBE).

Computed properties:
raw total energy = -109.06 eV/cell
total magnetic moment = 0.003 Bohr magnetons per cell
energy of formation = -0.14 eV per atom

Cell lengths 6.9242, 6.9242, 6.9242 Å; angles 114.29, 83.12, 135.11 degrees
Element x y z (fractional)
Pr1 0.1441 0.1666 0.3107
Pr2 0.3559 0.6666 0.0224
Pr3 0.6441 0.3334 0.9776
Pr4 0.8559 0.8334 0.6893
Co1 0.2500 0.7500 0.5000
Co2 0.7500 0.2500 0.5000
C1 0.0773 0.6614 0.7387
C2 0.1232 0.8298 0.9531
C3 0.3767 0.3298 0.7066
C4 0.4227 0.1614 0.5841
C5 0.5773 0.8386 0.4159
C6 0.6232 0.6702 0.2934
C7 0.8768 0.1702 0.0469
C8 0.9227 0.3386 0.2613



Entry 19:
Entry from Alexandria via LeMat-Bulk: crystalline PrEr2Cu3 at its relaxed geometry (GGA-PBE).

Computed properties:
raw total energy = -27.56 eV/cell
total magnetic moment = 0.000 Bohr magnetons per cell
energy of formation = -0.23 eV per atom

Cell lengths 3.4763, 3.4763, 10.5844 Å; angles 90.00, 90.00, 90.00 degrees
Element x y z (fractional)
Pr1 0.0000 0.0000 0.0000
Er1 0.0000 0.0000 0.3392
Er2 0.0000 0.0000 0.6608
Cu1 0.5000 0.5000 0.1873
Cu2 0.5000 0.5000 0.5000
Cu3 0.5000 0.5000 0.8127



Entry 20:
Entry from Alexandria via LeMat-Bulk: crystalline FeTcOs at its relaxed geometry (GGA-PBE).

Computed properties:
raw total energy = -28.12 eV/cell
total magnetic moment = 2.426 Bohr magnetons per cell
energy of formation = 0.65 eV per atom

Cell lengths 4.1110, 4.1110, 4.1110 Å; angles 60.00, 60.00, 60.00 degrees
Element x y z (fractional)
Fe1 0.0000 0.0000 0.0000
Tc1 0.5000 0.5000 0.5000
Os1 0.7500 0.7500 0.7500



Entry 21:
Entry from Alexandria via LeMat-Bulk: crystalline CaLa2In at its relaxed geometry (GGA-PBE).

Computed properties:
raw total energy = -15.39 eV/cell
total magnetic moment = 0.019 Bohr magnetons per cell
energy of formation = -0.20 eV per atom

Cell lengths 6.3347, 6.3347, 6.3347 Å; angles 133.52, 133.52, 67.84 degrees
Element x y z (fractional)
Ca1 0.0000 0.0000 0.0000
La1 0.5000 0.5000 0.0000
La2 0.7500 0.2500 0.5000
In1 0.2500 0.7500 0.5000



Entry 22:
Entry from Alexandria via LeMat-Bulk: crystalline NdZn4Au2 at its relaxed geometry (GGA-PBE).

Computed properties:
raw total energy = -38.64 eV/cell
total magnetic moment = 0.000 Bohr magnetons per cell
energy of formation = -0.41 eV per atom

Cell lengths 7.7203, 7.7203, 4.3955 Å; angles 90.00, 90.00, 90.00 degrees
Element x y z (fractional)
Nd1 0.0000 0.0000 0.0000
Nd2 0.5000 0.5000 0.5000
Zn1 0.0959 0.3525 0.5000
Zn2 0.1475 0.5959 0.0000
Zn3 0.3525 0.0959 0.5000
Zn4 0.4041 0.8525 0.0000
Zn5 0.5959 0.1475 0.0000
Zn6 0.6475 0.9041 0.5000
Zn7 0.8525 0.4041 0.0000
Zn8 0.9041 0.6475 0.5000
Au1 0.2114 0.7886 0.5000
Au2 0.2886 0.2886 0.0000
Au3 0.7114 0.7114 0.0000
Au4 0.7886 0.2114 0.5000



Entry 23:
Entry from Alexandria via LeMat-Bulk: crystalline ScCrOs at its relaxed geometry (GGA-PBE).

Computed properties:
raw total energy = -54.21 eV/cell
total magnetic moment = 0.119 Bohr magnetons per cell
energy of formation = 0.03 eV per atom

Cell lengths 5.1756, 5.1756, 5.4090 Å; angles 120.84, 120.84, 49.60 degrees
Element x y z (fractional)
Sc1 0.0000 0.0000 0.0000
Sc2 0.6792 0.6792 0.0055
Cr1 0.3355 0.3355 0.5079
Cr2 0.6656 0.6656 0.4935
Os1 0.0077 0.0077 0.5076
Os2 0.3428 0.3428 0.0064



Entry 24:
Entry from Alexandria via LeMat-Bulk: crystalline YCr2Si at its relaxed geometry (GGA-PBE).

Computed properties:
raw total energy = -31.13 eV/cell
formation energy from raw total energies = 0.00 eV per atom
total magnetic moment = 0.000 Bohr magnetons per cell

Cell lengths 3.2595, 3.2595, 6.1034 Å; angles 90.00, 90.00, 90.00 degrees
Element x y z (fractional)
Y1 0.0000 0.0000 0.0000
Cr1 0.5000 0.5000 0.3308
Cr2 0.5000 0.5000 0.6692
Si1 0.0000 0.0000 0.5000



Entry 25:
Entry from Alexandria via LeMat-Bulk: crystalline NdSN at its relaxed geometry (GGA-PBE).

Computed properties:
raw total energy = -40.44 eV/cell
formation energy from raw total energies = -1.00 eV per atom
total magnetic moment = 0.492 Bohr magnetons per cell

Cell lengths 4.1899, 4.1899, 6.8481 Å; angles 95.41, 95.41, 72.04 degrees
Element x y z (fractional)
Nd1 0.2173 0.2173 0.1992
Nd2 0.7827 0.7827 0.8008
S1 0.2482 0.7518 0.5000
S2 0.7518 0.2482 0.5000
N1 0.3561 0.6439 0.0000
N2 0.6439 0.3561 0.0000



Entry 26:
Entry from Alexandria via LeMat-Bulk: crystalline CsCr2CuPd at its relaxed geometry (GGA-PBE).

Computed properties:
raw total energy = -18.00 eV/cell
total magnetic moment = 10.650 Bohr magnetons per cell
energy of formation = 2.28 eV per atom

Cell lengths 5.8673, 5.8673, 5.2326 Å; angles 90.00, 90.00, 90.00 degrees
Element x y z (fractional)
Cs1 0.0000 0.0000 0.0000
Cr1 0.0000 0.5000 0.0000
Cr2 0.5000 0.0000 0.0000
Cu1 0.5000 0.5000 0.5000
Pd1 0.0000 0.0000 0.5000



Calculated volume / Å³ per cell: 44.1, 202.2, 109.7, 117.1, 309.7, 137.5, 441.4, 135.5, 45.6, 93.5, 298.6, 87.3, 58.0, 138.8, 106.5, 108.2, 71.6, 205.8, 127.9, 49.1, 131.4, 262.0, 91.1, 64.8, 113.6, 180.1